1.
LiDyAl2Au2 | PBE | relaxed

```
6
Lattice="4.4777 0.0000 0.0000 -2.2389 3.8778 0.0000 0.0000 0.0000 6.4849" Properties=species:S:1:pos:R:3 pbc="T T T"
Al 2.2389 1.2926 1.2230
Al 0.0000 2.5852 5.2619
Au 2.2389 1.2926 4.9908
Au 0.0000 2.5852 1.4941
Li 0.0000 0.0000 0.0000
Dy 0.0000 0.0000 3.2425
```

Summary:
* SG: P-3m1 (164)
* total magnetization: 0.0 μB/f.u.
* density: 9.10 g/cm³
* ΔH_f (0 K): -670.4 meV per atom
* uncorrected energy: -24.58 eV per formula unit
* N(E_F): 3.71 states/eV/f.u.

2.
LiDyAlAu2 | PBE | relaxed

```
5
Lattice="3.9307 0.0000 0.0000 0.0000 3.9307 0.0000 -1.9654 -1.9654 6.3171" Properties=species:S:1:pos:R:3 pbc="T T T"
Au 1.9654 1.9654 1.4181
Au 0.0000 0.0000 4.8990
Li 0.0000 1.9654 3.1585
Dy 0.0000 0.0000 0.0000
Al 1.9654 0.0000 3.1585
```

Summary:
* SG: I-4m2 (119)
* total magnetization: 0.0 μB/f.u.
* density: 10.04 g/cm³
* ΔH_f (0 K): -661.4 meV per atom
* uncorrected energy: -20.12 eV per formula unit
* N(E_F): 2.82 states/eV/f.u.

3.
Li2DyAlAu4 | PBE | relaxed

```
8
Lattice="4.5008 0.0000 0.0000 2.2504 3.8978 0.0000 2.2504 1.2993 8.2240" Properties=species:S:1:pos:R:3 pbc="T T T"
Au 6.7511 3.8978 3.2097
Au 4.5008 2.5985 1.5041
Au 4.5008 2.5985 6.7199
Au 2.2504 1.2993 5.0143
Li 6.7511 3.8978 5.9808
Li 2.2504 1.2993 2.2433
Dy 0.0000 0.0000 0.0000
Al 4.5008 2.5985 4.1120
```

Summary:
* SG: R-3m (166)
* total magnetization: 0.0 μB/f.u.
* density: 11.41 g/cm³
* ΔH_f (0 K): -629.6 meV per atom
* uncorrected energy: -30.32 eV per formula unit
* N(E_F): 3.50 states/eV/f.u.

4.
DyMgAl2Au5 | PBE | relaxed

```
9
Lattice="4.7077 0.0000 0.0000 0.0000 4.7077 0.0000 0.0000 0.0000 8.2108" Properties=species:S:1:pos:R:3 pbc="T T T"
Al 2.3538 2.3538 6.9489
Al 2.3538 2.3538 1.2619
Au 2.3538 0.0000 2.1932
Au 2.3538 2.3538 4.1054
Au 0.0000 2.3538 6.0176
Au 2.3538 0.0000 6.0176
Au 0.0000 2.3538 2.1932
Mg 0.0000 0.0000 0.0000
Dy 0.0000 0.0000 4.1054
```

Summary:
* SG: P4/mmm (123)
* total magnetization: 0.0 μB/f.u.
* density: 11.18 g/cm³
* ΔH_f (0 K): -443.0 meV per atom
* uncorrected energy: -34.06 eV per formula unit
* N(E_F): 3.46 states/eV/f.u.

5.
Dy2MgAl4Au3 | PBE | relaxed

```
10
Lattice="-2.8643 0.5870 -3.0256 -2.9184 -1.8445 2.4049 -2.6750 10.0849 4.4888" Properties=species:S:1:pos:R:3 pbc="T T T"
Al -2.8913 -0.6288 -0.3104
Al -3.1676 6.8362 1.3993
Al -2.3988 2.6200 2.7791
Al 0.0000 0.0000 0.0000
Dy -2.0802 2.7369 -0.4253
Dy -3.4861 6.7193 4.6037
Au -3.7511 9.0361 2.3785
Au -1.8152 0.4200 1.7999
Au -1.3375 5.0425 2.2444
Mg -4.2288 4.4137 1.9340
```

Summary:
* SG: P-4m2 (115)
* total magnetization: 0.0 μB/f.u.
* density: 8.66 g/cm³
* ΔH_f (0 K): -616.1 meV per atom
* uncorrected energy: -41.76 eV per formula unit
* N(E_F): 6.04 states/eV/f.u.

6.
DyMg2AlAu4 | PBE | relaxed

```
8
Lattice="-0.4406 2.2670 -3.9714 -3.8466 2.3490 -0.8896 1.9442 8.4051 1.9250" Properties=species:S:1:pos:R:3 pbc="T T T"
Au -2.9715 7.2943 -3.4782
Au 0.6285 5.7269 0.5421
Au -2.2647 4.2853 -2.6170
Au -0.0783 8.7358 -0.3191
Mg -0.5262 3.3765 -0.6714
Mg -1.8168 9.6446 -2.2646
Dy 0.0000 0.0000 0.0000
Al -1.1715 6.5106 -1.4680
```

Summary:
* SG: R-3m (166)
* total magnetization: 0.0 μB/f.u.
* density: 11.05 g/cm³
* ΔH_f (0 K): -618.5 meV per atom
* uncorrected energy: -29.59 eV per formula unit
* N(E_F): 3.79 states/eV/f.u.

7.
DyMgAl2Au2 | PBE | relaxed

```
6
Lattice="-2.8015 -2.8350 1.9964 2.8573 -1.4885 -3.0808 4.6653 -1.1665 4.8904" Properties=species:S:1:pos:R:3 pbc="T T T"
Au 2.4586 -3.2297 3.8406
Au 2.2625 -2.2602 -0.0346
Mg 2.3327 -0.5832 2.4452
Al 4.2929 -2.7679 2.0938
Al 0.4282 -2.7220 1.7122
Dy 0.0000 0.0000 0.0000
```

Summary:
* SG: P-3m1 (164)
* total magnetization: 0.0 μB/f.u.
* density: 8.93 g/cm³
* ΔH_f (0 K): -632.2 meV per atom
* uncorrected energy: -24.03 eV per formula unit
* N(E_F): 2.79 states/eV/f.u.

8.
NdDyAlAu | PBE | relaxed

```
4
Lattice="5.2221 0.0000 0.0000 2.6110 4.5225 0.0000 2.6110 1.5075 4.2638" Properties=species:S:1:pos:R:3 pbc="T T T"
Au 2.6110 1.5075 1.0660
Al 7.8331 4.5225 3.1979
Dy 5.2221 3.0150 2.1319
Nd 0.0000 0.0000 0.0000
```

Summary:
* SG: F-43m (216)
* total magnetization: 0.0 μB/f.u.
* density: 8.75 g/cm³
* ΔH_f (0 K): -513.5 meV per atom
* uncorrected energy: -18.44 eV per formula unit
* N(E_F): 4.30 states/eV/f.u.

9.
Nd2DyAl4Au3 | PBE | relaxed

```
10
Lattice="4.3521 0.0000 0.0000 0.0000 4.3521 0.0000 0.0000 0.0000 11.7619" Properties=species:S:1:pos:R:3 pbc="T T T"
Au 0.0000 2.1761 1.4169
Au 2.1761 0.0000 10.3449
Au 0.0000 0.0000 5.8809
Dy 2.1761 2.1761 5.8809
Al 2.1761 0.0000 7.8481
Al 0.0000 2.1761 3.9138
Al 0.0000 0.0000 0.0000
Al 2.1761 2.1761 0.0000
Nd 2.1761 0.0000 2.7240
Nd 0.0000 2.1761 9.0378
```

Summary:
* SG: P-4m2 (115)
* total magnetization: 0.0 μB/f.u.
* density: 8.57 g/cm³
* ΔH_f (0 K): -619.3 meV per atom
* uncorrected energy: -45.13 eV per formula unit
* N(E_F): 6.20 states/eV/f.u.

10.
NdDy2AlAu4 | PBE | relaxed

```
8
Lattice="-0.3614 1.6044 4.6775 2.2698 -2.4707 3.6507 7.5783 4.4697 1.6803" Properties=species:S:1:pos:R:3 pbc="T T T"
Dy 6.8988 2.5544 7.5405
Dy 2.5878 1.0490 2.4680
Au 4.4539 0.8786 7.9264
Au 2.4885 0.2562 5.3602
Au 6.9981 3.3473 4.6484
Au 5.0327 2.7249 2.0821
Nd 0.0000 0.0000 0.0000
Al 4.7433 1.8017 5.0043
```

Summary:
* SG: R-3m (166)
* total magnetization: 0.0 μB/f.u.
* density: 11.80 g/cm³
* ΔH_f (0 K): -736.1 meV per atom
* uncorrected energy: -36.71 eV per formula unit
* N(E_F): 3.84 states/eV/f.u.

11.
DyAlNiAu | PBE | relaxed

```
4
Lattice="4.6698 0.0000 0.0000 2.3349 4.0442 0.0000 2.3349 1.3481 3.8129" Properties=species:S:1:pos:R:3 pbc="T T T"
Dy 4.6698 2.6961 1.9064
Al 0.0000 0.0000 0.0000
Au 7.0047 4.0442 2.8596
Ni 2.3349 1.3481 0.9532
```

Summary:
* SG: F-43m (216)
* total magnetization: 0.0 μB/f.u.
* density: 10.27 g/cm³
* ΔH_f (0 K): -521.8 meV per atom
* uncorrected energy: -19.49 eV per formula unit
* N(E_F): 2.93 states/eV/f.u.

12.
Dy2Al4NiAu3 | PBE | relaxed

```
10
Lattice="-0.4712 4.1335 -0.8547 -0.6135 -0.9179 -4.1012 -10.3994 -0.8257 1.7404" Properties=species:S:1:pos:R:3 pbc="T T T"
Au -1.7739 -0.5755 -1.8050
Au -9.1678 1.3576 1.0675
Au -5.1997 -0.4129 0.8702
Al -0.5424 1.6078 -2.4779
Al -4.2315 -0.7706 -1.3937
Al -6.7102 1.5527 0.6562
Al 0.0000 0.0000 0.0000
Ni -5.7420 1.1949 -1.6077
Dy -8.0109 -1.0707 -0.7612
Dy -2.9308 1.8528 0.0237
```

Summary:
* SG: P-4m2 (115)
* total magnetization: 0.0 μB/f.u.
* density: 9.42 g/cm³
* ΔH_f (0 K): -669.3 meV per atom
* uncorrected energy: -46.48 eV per formula unit
* N(E_F): 5.75 states/eV/f.u.